(1)
Entry from the Alexandria database: Ac2Nd5Dy6 after structural relaxation (PBE-GGA).

Computed properties:
M_tot, Bohr magnetons per cell: 0.0
Formation energy, eV/atom: 0.11

Unit cell a=12.0243 b=20.7605 c=3.6777 alpha=90.00 beta=90.00 gamma=90.00
Space group Pbam (No. 55)
Symmetry-distinct sites (fractional):
Ac (0.1670, 0.2234, 0.0000) [4 per cell]
Nd (0.0000, 0.5000, 0.5000) [2 per cell]
Nd (0.0926, 0.7851, 0.5000) [4 per cell]
Nd (0.2017, 0.0538, 0.5000) [4 per cell]
Dy (0.0615, 0.9265, 0.0000) [4 per cell]
Dy (0.0701, 0.6391, 0.0000) [4 per cell]
Dy (0.1842, 0.3800, 0.5000) [4 per cell]

(2)
Entry from the Alexandria database: In2Te9RuCl8 after structural relaxation (PBE-GGA).

Computed properties:
M_tot, Bohr magnetons per cell: 0.0
Uncorrected formation energy, eV/atom: -0.56

Unit cell a=21.4438 b=12.4487 c=10.4595 alpha=90.00 beta=90.36 gamma=90.00
Space group C2/c (No. 15)
Symmetry-distinct sites (fractional):
In (0.1713, 0.0208, 0.4859) [8 per cell]
Te (0.0000, 0.2083, 0.2500) [4 per cell]
Te (0.0337, 0.3246, 0.6319) [8 per cell]
Te (0.0727, 0.3616, 0.1277) [8 per cell]
Te (0.1044, 0.4541, 0.3706) [8 per cell]
Te (0.1464, 0.3545, 0.7618) [8 per cell]
Ru (0.0000, 0.5000, 0.0000) [4 per cell]
Cl (0.0769, 0.0820, 0.9883) [8 per cell]
Cl (0.1745, 0.1209, 0.6854) [8 per cell]
Cl (0.1769, 0.1566, 0.3255) [8 per cell]
Cl (0.2370, 0.4085, 0.0109) [8 per cell]

(3)
Entry from the Alexandria database: TmZrGa2 after structural relaxation (PBE-GGA).

Computed properties:
M_tot, Bohr magnetons per cell: 0.0
Formation energy, eV/atom: -0.59
Energy above the most stable polymorph in this dataset, meV per atom: 0

Unit cell a=3.8926 b=4.1282 c=10.5125 alpha=90.00 beta=90.00 gamma=90.00
Space group Amm2 (No. 38)
Symmetry-distinct sites (fractional):
Tm (0.0000, 0.0000, 0.0000) [2 per cell]
Zr (0.5000, 0.0000, 0.2811) [2 per cell]
Ga (0.0000, 0.0000, 0.7265) [2 per cell]
Ga (0.5000, 0.0000, 0.5645) [2 per cell]

(4)
Entry from the Alexandria database: Mg8Bi2Pd after structural relaxation (PBE-GGA).

Computed properties:
M_tot, Bohr magnetons per cell: 0.0
Formation energy, eV/atom: -0.19

Unit cell a=20.8276 b=4.4852 c=5.8923 alpha=90.00 beta=96.31 gamma=90.00
Space group C2/m (No. 12)
Symmetry-distinct sites (fractional):
Mg (0.0292, 0.0000, 0.2403) [4 per cell]
Mg (0.0696, 0.5000, 0.6405) [4 per cell]
Mg (0.1326, 0.5000, 0.1466) [4 per cell]
Mg (0.2408, 0.5000, 0.8090) [4 per cell]
Bi (0.1609, 0.0000, 0.5307) [4 per cell]
Pd (0.0000, 0.5000, 0.0000) [2 per cell]

(5)
Entry from the Alexandria database: RbSbSeCl2 after structural relaxation (PBE-GGA).

Computed properties:
M_tot, Bohr magnetons per cell: 1.8
Uncorrected formation energy, eV/atom: -0.36
Energy above the most stable polymorph in this dataset, meV per atom: 585

Unit cell a=5.2345 b=5.2345 c=8.6075 alpha=90.00 beta=90.00 gamma=90.00
Space group P4/mmm (No. 123)
Symmetry-distinct sites (fractional):
Rb (0.0000, 0.0000, 0.0000) [1 per cell]
Sb (0.0000, 0.0000, 0.5000) [1 per cell]
Se (0.5000, 0.5000, 0.0000) [1 per cell]
Cl (0.0000, 0.5000, 0.5000) [2 per cell]

(6)
Entry from the Alexandria database: PuNb2Ru after structural relaxation (PBE-GGA).

Computed properties:
M_tot, Bohr magnetons per cell: 4.8
Formation energy, eV/atom: 0.07
Energy above the most stable polymorph in this dataset, meV per atom: 24

Unit cell a=4.7816 b=4.7816 c=3.1203 alpha=90.00 beta=90.00 gamma=90.00
Space group P4/mmm (No. 123)
Symmetry-distinct sites (fractional):
Pu (0.0000, 0.0000, 0.0000) [1 per cell]
Nb (0.0000, 0.5000, 0.5000) [2 per cell]
Ru (0.5000, 0.5000, 0.0000) [1 per cell]

(7)
Entry from the Alexandria database: SiGeN2 after structural relaxation (PBE-GGA).

Computed properties:
M_tot, Bohr magnetons per cell: 0.0
Uncorrected formation energy, eV/atom: -0.26
Energy above the most stable polymorph in this dataset, meV per atom: 216

Unit cell a=2.8365 b=2.8365 c=17.3017 alpha=90.00 beta=90.00 gamma=120.00
Space group R-3m (No. 166, hexagonal axes)
Symmetry-distinct sites (fractional):
Si (0.0000, 0.0000, 0.0000) [3 per cell]
Ge (0.0000, 0.0000, 0.5000) [3 per cell]
N (0.0000, 0.0000, 0.3886) [6 per cell]

(8)
Entry from the Alexandria database: Ac3NiPd3 after structural relaxation (PBE-GGA).

Computed properties:
M_tot, Bohr magnetons per cell: 0.0
Formation energy, eV/atom: -0.68

Unit cell a=4.1927 b=4.5298 c=19.2256 alpha=90.00 beta=90.00 gamma=90.00
Space group Imm2 (No. 44)
Symmetry-distinct sites (fractional):
Ac (0.0000, 0.0000, 0.0000) [2 per cell]
Ac (0.0000, 0.0000, 0.3593) [2 per cell]
Ac (0.0000, 0.5000, 0.1825) [2 per cell]
Ni (0.0000, 0.5000, 0.7509) [2 per cell]
Pd (0.0000, 0.0000, 0.5279) [2 per cell]
Pd (0.0000, 0.0000, 0.8253) [2 per cell]
Pd (0.0000, 0.5000, 0.6199) [2 per cell]

(9)
Entry from the Alexandria database: Tm2SbAs after structural relaxation (PBE-GGA).

Computed properties:
M_tot, Bohr magnetons per cell: 0.0
Uncorrected formation energy, eV/atom: -1.27

Unit cell a=4.1793 b=4.1793 c=20.7593 alpha=90.00 beta=90.00 gamma=120.00
Space group R-3m (No. 166, hexagonal axes)
Symmetry-distinct sites (fractional):
Tm (0.0000, 0.0000, 0.2440) [6 per cell]
Sb (0.0000, 0.0000, 0.0000) [3 per cell]
As (0.0000, 0.0000, 0.5000) [3 per cell]

(10)
Entry from the Alexandria database: Zr2CrSb after structural relaxation (PBE-GGA).

Computed properties:
M_tot, Bohr magnetons per cell: 0.0
Uncorrected formation energy, eV/atom: -0.12

Unit cell a=4.4985 b=4.4985 c=3.8617 alpha=90.00 beta=90.00 gamma=90.00
Space group P4/mmm (No. 123)
Symmetry-distinct sites (fractional):
Zr (0.0000, 0.5000, 0.0000) [2 per cell]
Cr (0.0000, 0.0000, 0.5000) [1 per cell]
Sb (0.5000, 0.5000, 0.5000) [1 per cell]

(11)
Entry from the Alexandria database: YAgAs2Br after structural relaxation (PBE-GGA).

Computed properties:
M_tot, Bohr magnetons per cell: 1.0
Uncorrected formation energy, eV/atom: 0.12
Energy above the most stable polymorph in this dataset, meV per atom: 48

Unit cell a=5.5233 b=5.5233 c=5.5022 alpha=90.00 beta=90.00 gamma=90.00
Space group P4/mmm (No. 123)
Symmetry-distinct sites (fractional):
Y (0.0000, 0.0000, 0.0000) [1 per cell]
Ag (0.5000, 0.5000, 0.5000) [1 per cell]
As (0.0000, 0.5000, 0.0000) [2 per cell]
Br (0.0000, 0.0000, 0.5000) [1 per cell]

(12)
Entry from the Alexandria database: Y2GeRuC after structural relaxation (PBE-GGA).

Computed properties:
M_tot, Bohr magnetons per cell: 0.0
Formation energy, eV/atom: -0.48

Unit cell a=4.9365 b=4.9365 c=3.9260 alpha=90.00 beta=90.00 gamma=90.00
Space group P4/mmm (No. 123)
Symmetry-distinct sites (fractional):
Y (0.0000, 0.5000, 0.0000) [2 per cell]
Ge (0.0000, 0.0000, 0.5000) [1 per cell]
Ru (0.5000, 0.5000, 0.5000) [1 per cell]
C (0.5000, 0.5000, 0.0000) [1 per cell]

(13)
Entry from the Alexandria database: Rb4DyBi3O12 after structural relaxation (PBE-GGA).

Computed properties:
M_tot, Bohr magnetons per cell: 3.9
Uncorrected formation energy, eV/atom: -1.29

Unit cell a=8.7056 b=8.7056 c=8.7056 alpha=90.00 beta=90.00 gamma=90.00
Space group Im-3m (No. 229)
Symmetry-distinct sites (fractional):
Rb (0.2500, 0.2500, 0.2500) [8 per cell]
Dy (0.0000, 0.0000, 0.0000) [2 per cell]
Bi (0.0000, 0.0000, 0.5000) [6 per cell]
O (0.0000, 0.0000, 0.2598) [12 per cell]
O (0.0000, 0.2500, 0.5000) [12 per cell]

(14)
Entry from the Alexandria database: Ti2FeRe after structural relaxation (PBE-GGA).

Computed properties:
M_tot, Bohr magnetons per cell: 0.0
Formation energy, eV/atom: 0.41

Unit cell a=2.6780 b=4.5782 c=9.7002 alpha=90.00 beta=90.00 gamma=90.00
Space group Immm (No. 71)
Symmetry-distinct sites (fractional):
Ti (0.0000, 0.0000, 0.2305) [4 per cell]
Fe (0.0000, 0.0000, 0.0000) [2 per cell]
Re (0.0000, 0.0000, 0.5000) [2 per cell]

(15)
Entry from the Alexandria database: Na4Tl3Pt2 after structural relaxation (PBE-GGA).

Computed properties:
M_tot, Bohr magnetons per cell: 0.0
Formation energy, eV/atom: -0.17

Unit cell a=16.0823 b=4.2299 c=7.4605 alpha=90.00 beta=108.76 gamma=90.00
Space group C2/m (No. 12)
Symmetry-distinct sites (fractional):
Na (0.0906, 0.0000, 0.3420) [4 per cell]
Na (0.2234, 0.5000, 0.1478) [4 per cell]
Tl (0.0000, 0.5000, 0.0000) [2 per cell]
Tl (0.1083, 0.5000, 0.6714) [4 per cell]
Pt (0.0964, 0.0000, 0.9116) [4 per cell]

(16)
Entry from the Alexandria database: Li2NbAuSe after structural relaxation (PBE-GGA).

Computed properties:
M_tot, Bohr magnetons per cell: 4.1
Uncorrected formation energy, eV/atom: 0.36

Unit cell a=4.4811 b=4.4811 c=5.3779 alpha=90.00 beta=90.00 gamma=90.00
Space group P4/mmm (No. 123)
Symmetry-distinct sites (fractional):
Li (0.0000, 0.5000, 0.0000) [2 per cell]
Nb (0.0000, 0.0000, 0.5000) [1 per cell]
Au (0.5000, 0.5000, 0.5000) [1 per cell]
Se (0.5000, 0.5000, 0.0000) [1 per cell]

(17)
Entry from the Alexandria database: Hg2SbP after structural relaxation (PBE-GGA).

Computed properties:
M_tot, Bohr magnetons per cell: 0.0
Uncorrected formation energy, eV/atom: 0.43
Energy above the most stable polymorph in this dataset, meV per atom: 341

Unit cell a=3.9777 b=5.6882 c=8.4186 alpha=90.00 beta=90.00 gamma=90.00
Space group Cmmm (No. 65)
Symmetry-distinct sites (fractional):
Hg (0.0000, 0.0000, 0.2233) [4 per cell]
Sb (0.0000, 0.5000, 0.5000) [2 per cell]
P (0.0000, 0.5000, 0.0000) [2 per cell]

(18)
Entry from the Alexandria database: BiCIO2 after structural relaxation (PBE-GGA).

Computed properties:
M_tot, Bohr magnetons per cell: 0.0
Uncorrected formation energy, eV/atom: 1.10
Energy above the most stable polymorph in this dataset, meV per atom: 129

Unit cell a=4.2504 b=4.2504 c=4.2826 alpha=90.00 beta=90.00 gamma=90.00
Space group P4/mmm (No. 123)
Symmetry-distinct sites (fractional):
Bi (0.0000, 0.0000, 0.0000) [1 per cell]
C (0.5000, 0.5000, 0.5000) [1 per cell]
I (0.5000, 0.5000, 0.0000) [1 per cell]
O (0.0000, 0.5000, 0.5000) [2 per cell]

(19)
Entry from the Alexandria database: CaGaSb after structural relaxation (PBE-GGA).

Computed properties:
M_tot, Bohr magnetons per cell: 0.0
Uncorrected formation energy, eV/atom: -0.56
Energy above the most stable polymorph in this dataset, meV per atom: 100

Unit cell a=11.7261 b=4.3230 c=6.7975 alpha=90.00 beta=90.00 gamma=90.00
Space group Pnma (No. 62)
Symmetry-distinct sites (fractional):
Ca (0.0746, 0.2500, 0.2498) [4 per cell]
Ga (0.1261, 0.2500, 0.7041) [4 per cell]
Sb (0.1786, 0.7500, 0.9510) [4 per cell]

(20)
Entry from the Alexandria database: Cd2GaSn after structural relaxation (PBE-GGA).

Computed properties:
M_tot, Bohr magnetons per cell: 0.0
Formation energy, eV/atom: 0.10
Energy above the most stable polymorph in this dataset, meV per atom: 50

Unit cell a=4.7021 b=4.7021 c=15.7861 alpha=90.00 beta=90.00 gamma=120.00
Space group R3m (No. 160, hexagonal axes)
Symmetry-distinct sites (fractional):
Cd (0.0000, 0.0000, 0.0000) [3 per cell]
Cd (0.0000, 0.0000, 0.1999) [3 per cell]
Ga (0.0000, 0.0000, 0.5846) [3 per cell]
Sn (0.0000, 0.0000, 0.7738) [3 per cell]